AgTe2Pt: PBEsol geometry, SCAN.

Output
uncorrected formation energy: -176 meV/atom
symmetry: No. 8

Cell: 3.9263 5.2020 5.5382 Å, 103.77 90.00 112.17°
Closest atoms and distances in Å follow each position.
Fractional coordinates of all 4 atoms:
Te (0.2998, 0.5997, 0.7125)  2 Pt 2.62, 1 Ag 2.80
Te (0.0906, 0.1813, 0.0969)  2 Pt 2.64
Ag (0.4072, 0.8143, 0.2876)  3 Pt 2.75-2.97, 4 Te 2.80-3.01
Pt (0.7024, 0.4047, 0.4030)  4 Te 2.62-2.64, 1 Ag 2.75

***

AgTe2Pt: PBEsol geometry, SCAN.

Output
uncorrected formation energy: -8 meV/atom
symmetry: No. 99

Cell: 3.4714 3.4714 7.4509 Å, 90.00 90.00 90.00°
Closest atoms and distances in Å follow each position.
Fractional coordinates of all 4 atoms:
Te (0.0000, 0.0000, 0.9058)  4 Pt 2.72, 1 Ag 2.79
Te (0.5000, 0.5000, 0.3134)  4 Ag 2.94, 1 Pt 3.25
Ag (0.0000, 0.0000, 0.5313)  5 Te 2.79-2.94, 4 Pt 2.94
Pt (0.5000, 0.5000, 0.7495)  4 Te 2.72, 4 Ag 2.94

***

TiAgPt3: PBEsol geometry, SCAN.

Output
calculated formation energy: 2.94 eV per formula unit
symmetry: No. 221

Cell: 4.6079 4.6079 4.6079 Å, 90.00 90.00 90.00°
Closest atoms and distances in Å follow each position.
Fractional coordinates of all 5 atoms:
Pt (0.5000, 0.0000, 0.0000)  2 Ti 2.30
Pt (0.0000, 0.5000, 0.0000)  2 Ti 2.30
Pt (0.0000, 0.0000, 0.5000)  2 Ti 2.30
Ag (0.5000, 0.5000, 0.5000)  12 Pt 3.26
Ti (0.0000, 0.0000, 0.0000)  6 Pt 2.30

***

TiAg3Pt: PBEsol geometry, SCAN.

Output
calculated formation energy: 7.36 eV per formula unit
symmetry: No. 221

Cell: 4.7202 4.7202 4.7202 Å, 90.00 90.00 90.00°
Closest atoms and distances in Å follow each position.
Fractional coordinates of all 5 atoms:
Ti (0.0000, 0.0000, 0.0000)  6 Ag 2.36
Ag (0.5000, 0.0000, 0.0000)  2 Ti 2.36
Ag (0.0000, 0.0000, 0.5000)  2 Ti 2.36
Ag (0.0000, 0.5000, 0.0000)  2 Ti 2.36
Pt (0.5000, 0.5000, 0.5000)  12 Ag 3.34

***

TlAgPt2: PBEsol geometry, SCAN.

Output
calculated formation energy: 0.92 eV per formula unit
symmetry: No. 166

Cell: 2.9904 2.9904 9.0697 Å, 80.51 80.51 60.00°
Closest atoms and distances in Å follow each position.
Fractional coordinates of all 4 atoms:
Ag (0.0000, 0.0000, 0.0000)  6 Pt 2.79, 6 Ag 2.99
Pt (0.2515, 0.2515, 0.2455)  3 Ag 2.79, 3 Tl 2.85, 6 Pt 2.99
Pt (0.7485, 0.7485, 0.7545)  3 Ag 2.79, 3 Tl 2.85, 6 Pt 2.99
Tl (0.5000, 0.5000, 0.5000)  6 Pt 2.85, 6 Tl 2.99

***

TlAg2Pt: PBEsol geometry, SCAN.

Output
calculated formation energy: 0.21 eV per formula unit
symmetry: No. 123
polymorph energy (0 for the lowest one): 0.00 eV/f.u.

Cell: 4.0216 4.0216 4.3124 Å, 90.00 90.00 90.00°
Closest atoms and distances in Å follow each position.
Fractional coordinates of all 4 atoms:
Pt (0.5000, 0.5000, 0.5000)  4 Tl 2.84, 8 Ag 2.95
Ag (0.5000, 0.0000, 0.0000)  4 Ag 2.84, 4 Pt 2.95, 4 Tl 2.95
Ag (0.0000, 0.5000, 0.0000)  4 Ag 2.84, 4 Pt 2.95, 4 Tl 2.95
Tl (0.0000, 0.0000, 0.5000)  4 Pt 2.84, 8 Ag 2.95

***

TlAgPt2: PBEsol geometry, SCAN.

Output
calculated formation energy: 0.09 eV per formula unit
symmetry: No. 139

Cell: 4.1383 4.1383 4.8875 Å, 115.05 115.05 90.00°
Closest atoms and distances in Å follow each position.
Fractional coordinates of all 4 atoms:
Pt (0.7500, 0.2500, 0.5000)  4 Tl 2.85, 4 Ag 2.85, 4 Pt 2.93
Pt (0.2500, 0.7500, 0.5000)  4 Tl 2.85, 4 Ag 2.85, 4 Pt 2.93
Ag (0.5000, 0.5000, 0.0000)  8 Pt 2.85, 4 Tl 2.93
Tl (0.0000, 0.0000, 0.0000)  8 Pt 2.85, 4 Ag 2.93

***

TlAgPt2: PBEsol geometry, SCAN.

Output
calculated formation energy: 0.77 eV per formula unit
symmetry: No. 99

Cell: 2.9168 2.9168 8.1586 Å, 90.00 90.00 90.00°
Closest atoms and distances in Å follow each position.
Fractional coordinates of all 4 atoms:
Ag (0.5000, 0.5000, 0.7726)  4 Pt 2.81, 4 Ag 2.92, 4 Tl 3.10
Pt (0.0000, 0.0000, 0.0059)  8 Pt 2.77-2.92, 4 Ag 2.81
Pt (0.5000, 0.5000, 0.2333)  8 Pt 2.77-2.92, 4 Tl 2.93
Tl (0.0000, 0.0000, 0.4882)  4 Tl 2.92, 4 Pt 2.93, 4 Ag 3.10

***

| no. | density of states at the Fermi level (states/eV/atom) |
| --- | --- |
| 1 | 0.428 |
| 2 | 0.322 |
| 3 | 0.477 |
| 4 | 0.553 |
| 5 | 0.788 |
| 6 | 0.345 |
| 7 | 0.282 |
| 8 | 0.543 |